An optimized crystal structure of LaSm3Cd6, computed with PBE-GGA.

a = 5.2922 Å, b = 9.4301 Å, c = 11.3664 Å
α = 106.89°, β = 90.00°, γ = 90.00°
Atoms (fractional coordinates):
La (0.2500, 0.9436, 0.6098)
La (0.7500, 0.0564, 0.3902)
Sm (0.2500, 0.5255, 0.3878)
Sm (0.7500, 0.4745, 0.6122)
Sm (0.2500, 0.3522, 0.7918)
Sm (0.7500, 0.6478, 0.2082)
Sm (0.2500, 0.7655, 0.9956)
Sm (0.7500, 0.2345, 0.0044)
Cd (0.2500, 0.4548, 0.0900)
Cd (0.7500, 0.5452, 0.9100)
Cd (0.2500, 0.1441, 0.1942)
Cd (0.7500, 0.8559, 0.8058)
Cd (0.2500, 0.6564, 0.7049)
Cd (0.7500, 0.3436, 0.2951)
Cd (0.2500, 0.2512, 0.4957)
Cd (0.7500, 0.7488, 0.5043)
Cd (0.2500, 0.8435, 0.2948)
Cd (0.7500, 0.1565, 0.7052)
Cd (0.2500, 0.0569, 0.9046)
Cd (0.7500, 0.9431, 0.0954)

Computed properties:
For the formation energy, the calculation gives -28 kJ per mole of atoms. Its volume is 27.1 A^3/atom. The density of states at the Fermi level comes out at 17.33 states/eV per cell. The value obtained for the spin magnetization is 0.003 μB per formula unit. Its crystal system is monoclinic. The value obtained for the density is 7.737 g cm⁻³.